# Ac9Sm4Tl11

A relaxed Ac9Sm4Tl11 crystal (PBE-GGA, the Alexandria database).

Unit cell a=14.7392 b=14.7392 c=3.8144 alpha=90.00 beta=90.00 gamma=101.83
Last column: nearest neighbours and their distance in Å.
Fractional positions:
Ac1 0.0000 0.0000 0.0000  4 Sm 3.48, 4 Tl 3.57, 2 Ac 3.81
Ac2 0.1247 0.6442 0.0000  8 Tl 3.54-3.80, 1 Sm 3.60, 2 Ac 3.81
Ac3 0.2907 0.4619 0.0000  8 Tl 3.52-3.60, 3 Ac 3.81-3.92
Ac4 0.3558 0.8753 0.0000  8 Tl 3.54-3.80, 1 Sm 3.60, 2 Ac 3.81
Ac5 0.4619 0.2907 0.0000  8 Tl 3.52-3.60, 3 Ac 3.81-3.92
Ac6 0.5381 0.7093 0.0000  8 Tl 3.52-3.60, 3 Ac 3.81-3.92
Ac7 0.6442 0.1247 0.0000  8 Tl 3.54-3.80, 1 Sm 3.60, 2 Ac 3.81
Ac8 0.7093 0.5381 0.0000  8 Tl 3.52-3.60, 3 Ac 3.81-3.92
Ac9 0.8753 0.3558 0.0000  8 Tl 3.54-3.80, 1 Sm 3.60, 2 Ac 3.81
Sm1 0.0679 0.2402 0.0000  6 Tl 3.28-3.59, 2 Ac 3.48-3.60
Sm2 0.2402 0.0679 0.0000  6 Tl 3.28-3.59, 2 Ac 3.48-3.60
Sm3 0.7598 0.9321 0.0000  6 Tl 3.28-3.59, 2 Ac 3.48-3.60
Sm4 0.9321 0.7598 0.0000  6 Tl 3.28-3.59, 2 Ac 3.48-3.60
Tl1 0.0796 0.4300 0.5000  2 Sm 3.36, 1 Tl 3.43, 6 Ac 3.54-3.63
Tl2 0.1317 0.8683 0.5000  6 Ac 3.57-3.80, 4 Sm 3.59, 2 Tl 3.81
Tl3 0.2513 0.2513 0.5000  4 Sm 3.28, 4 Ac 3.59
Tl4 0.3330 0.6670 0.5000  8 Ac 3.52-3.57, 3 Tl 3.81-3.82
Tl5 0.4300 0.0796 0.5000  2 Sm 3.36, 1 Tl 3.43, 6 Ac 3.54-3.63
Tl6 0.5000 0.5000 0.5000  8 Ac 3.57, 4 Tl 3.81-3.82
Tl7 0.5700 0.9204 0.5000  2 Sm 3.36, 1 Tl 3.43, 6 Ac 3.54-3.63
Tl8 0.6670 0.3330 0.5000  8 Ac 3.52-3.57, 3 Tl 3.81-3.82
Tl9 0.7487 0.7487 0.5000  4 Sm 3.28, 4 Ac 3.59
Tl10 0.8683 0.1317 0.5000  6 Ac 3.57-3.80, 4 Sm 3.59, 2 Tl 3.81
Tl11 0.9204 0.5700 0.5000  2 Sm 3.36, 1 Tl 3.43, 6 Ac 3.54-3.63

Summary:
VASP energy = -3.691 eV per atom
ΔH_f (0 K) = -0.2790 eV per atom
volume = 811.07 Å³ per cell

***

# Ag2Br

A relaxed Ag2Br crystal (PBE-GGA, the Alexandria database).

Unit cell a=3.5539 b=3.5539 c=12.3017 alpha=90.00 beta=90.00 gamma=120.00
Last column: nearest neighbours and their distance in Å.
Fractional positions:
Ag1 0.3333 0.6667 0.0806  3 Ag 2.85, 3 Br 2.92
Ag2 0.3333 0.6667 0.4194  3 Ag 2.85, 3 Br 2.92
Ag3 0.6667 0.3333 0.5806  3 Ag 2.85, 3 Br 2.92
Ag4 0.6667 0.3333 0.9194  3 Ag 2.85, 3 Br 2.92
Br1 0.0000 0.0000 0.2500  6 Ag 2.92
Br2 0.0000 0.0000 0.7500  6 Ag 2.92

Summary:
VASP energy = -2.420 eV per atom
uncorrected formation energy = 38 meV/atom
polymorph energy (0 for the lowest one) = 0.197 eV/atom
volume = 134.56 Å³ per cell

***

- Which formula does entry 2 have?
  Ag2Br

***

- Which of these has the highest VASP energy?
  Ag2Br